# RbTiPt3 PBE optimized geometry
# Calculated formation energy (eV/atom): 2.206
# Fermi-level density of states (states/eV per atom): 2.682
# E_tot (eV per atom): -3.191
# Calculated density (g/cm³): 9.6
data_RbTiPt3
_chemical_formula_sum 'Rb1 Ti1 Pt3'
_cell_length_a 4.993
_cell_length_b 4.993
_cell_length_c 4.993
_cell_angle_alpha 90.00
_cell_angle_beta 90.00
_cell_angle_gamma 90.00
_space_group_name_H-M_alt 'P m -3 m'
_space_group_IT_number 221
_space_group_name_Hall '-P 4 2 3'
loop_
_atom_site_label
_atom_site_type_symbol
_atom_site_fract_x
_atom_site_fract_y
_atom_site_fract_z
Rb1 Rb 0.000 0.000 0.000
Ti1 Ti 0.500 0.500 0.500
Pt1 Pt 0.000 0.000 0.500

# RbTi2Pt PBE optimized geometry
# Calculated formation energy (eV/atom): 0.624
# Fermi-level density of states (states/eV per atom): 1.241
# E_tot (eV per atom): -5.075
# Calculated density (g/cm³): 8.2
data_RbTi2Pt
_chemical_formula_sum 'Rb4 Ti8 Pt4'
_cell_length_a 6.736
_cell_length_b 6.736
_cell_length_c 6.736
_cell_angle_alpha 90.00
_cell_angle_beta 90.00
_cell_angle_gamma 90.00
_space_group_name_H-M_alt 'F m -3 m'
_space_group_IT_number 225
_space_group_name_Hall '-F 4 2 3'
loop_
_atom_site_label
_atom_site_type_symbol
_atom_site_fract_x
_atom_site_fract_y
_atom_site_fract_z
Rb1 Rb 0.000 0.000 0.000
Ti1 Ti 0.250 0.250 0.250
Pt1 Pt 0.000 0.000 0.500

# RbTi3Pt PBE optimized geometry
# Calculated formation energy (eV/atom): 0.572
# Fermi-level density of states (states/eV per atom): 1.901
# E_tot (eV per atom): -5.567
# Calculated density (g/cm³): 5.6
data_RbTi3Pt
_chemical_formula_sum 'Rb1 Ti3 Pt1'
_cell_length_a 5.013
_cell_length_b 5.013
_cell_length_c 5.013
_cell_angle_alpha 90.00
_cell_angle_beta 90.00
_cell_angle_gamma 90.00
_space_group_name_H-M_alt 'P m -3 m'
_space_group_IT_number 221
_space_group_name_Hall '-P 4 2 3'
loop_
_atom_site_label
_atom_site_type_symbol
_atom_site_fract_x
_atom_site_fract_y
_atom_site_fract_z
Rb1 Rb 0.000 0.000 0.000
Ti1 Ti 0.000 0.500 0.500
Pt1 Pt 0.500 0.500 0.500

# RbTi3Pt PBE optimized geometry
# Calculated formation energy (eV/atom): 1.916
# Fermi-level density of states (states/eV per atom): 1.513
# E_tot (eV per atom): -4.223
# Calculated density (g/cm³): 7.2
data_RbTi3Pt
_chemical_formula_sum 'Rb1 Ti3 Pt1'
_cell_length_a 4.606
_cell_length_b 4.606
_cell_length_c 4.606
_cell_angle_alpha 90.00
_cell_angle_beta 90.00
_cell_angle_gamma 90.00
_space_group_name_H-M_alt 'P m -3 m'
_space_group_IT_number 221
_space_group_name_Hall '-P 4 2 3'
loop_
_atom_site_label
_atom_site_type_symbol
_atom_site_fract_x
_atom_site_fract_y
_atom_site_fract_z
Rb1 Rb 0.000 0.000 0.000
Ti1 Ti 0.000 0.000 0.500
Pt1 Pt 0.500 0.500 0.500

What is the Fermi-level density of states in the second record?
1.241 states/eV per atom